Record 1
# ZrHgGe3

An optimized crystal structure of ZrHgGe3 (PBE, Alexandria via LeMat-Bulk).

Formation energy from the elements = 0.987 eV/atom
SG = Pm-3m, No. 221

a b c (Å): 5.073 5.073 5.073
angles (deg): 90.00 90.00 90.00
Sites, in units of the cell vectors:
Zr 0.000 0.000 0.000
Hg 0.500 0.500 0.500
Ge 0.000 0.500 0.500
Ge 0.500 0.000 0.500
Ge 0.500 0.500 0.000



Record 2
# Al2InGa6

An optimized crystal structure of Al2InGa6 (PBE, Alexandria via LeMat-Bulk).

Formation energy from the elements = 0.121 eV/atom
SG = P-31m, No. 162

a b c (Å): 4.974 4.974 9.465
angles (deg): 90.00 90.00 120.00
Sites, in units of the cell vectors:
Al 0.333 0.667 0.000
Al 0.667 0.333 0.000
In 0.000 0.000 0.500
Ga 0.000 0.336 0.761
Ga 0.000 0.664 0.239
Ga 0.336 0.000 0.761
Ga 0.336 0.336 0.239
Ga 0.664 0.000 0.239
Ga 0.664 0.664 0.761



Record 3
# VP3Br

An optimized crystal structure of VP3Br (PBE, Alexandria via LeMat-Bulk).

SG = Pm-3m, No. 221
Energy relative to the elements, uncorrected = 1551 meV/atom

a b c (Å): 4.745 4.745 4.745
angles (deg): 90.00 90.00 90.00
Sites, in units of the cell vectors:
V 0.000 0.000 0.000
P 0.000 0.500 0.500
P 0.500 0.000 0.500
P 0.500 0.500 0.000
Br 0.500 0.500 0.500



Record 4
# SiSb

An optimized crystal structure of SiSb (PBE, Alexandria via LeMat-Bulk).

SG = P6_3mc, No. 186
Energy relative to the elements, uncorrected = 456 meV/atom

a b c (Å): 4.448 4.448 7.090
angles (deg): 90.00 90.00 120.00
Sites, in units of the cell vectors:
Si 0.333 0.667 0.000
Si 0.667 0.333 0.500
Sb 0.333 0.667 0.378
Sb 0.667 0.333 0.878



Record 5
# Tb4Nd3Tl

An optimized crystal structure of Tb4Nd3Tl (PBE, Alexandria via LeMat-Bulk).

Formation energy from the elements = -0.075 eV/atom
SG = Pmn2_1, No. 31

a b c (Å): 11.357 7.160 6.280
angles (deg): 90.00 90.00 90.00
Sites, in units of the cell vectors:
Tb 0.000 0.120 0.000
Tb 0.000 0.871 0.525
Tb 0.238 0.875 0.179
Tb 0.262 0.125 0.679
Tb 0.500 0.129 0.025
Tb 0.500 0.880 0.500
Tb 0.738 0.125 0.679
Tb 0.762 0.875 0.179
Nd 0.000 0.372 0.541
Nd 0.238 0.384 0.194
Nd 0.262 0.616 0.694
Nd 0.500 0.628 0.041
Nd 0.738 0.616 0.694
Nd 0.762 0.384 0.194
Tl 0.000 0.636 0.015
Tl 0.500 0.364 0.515



Record 6
# Tc4C

An optimized crystal structure of Tc4C (PBE, Alexandria via LeMat-Bulk).

Formation energy from the elements = 0.463 eV/atom
SG = P-3m1, No. 164

a b c (Å): 2.840 2.840 9.677
angles (deg): 90.00 90.00 120.00
Sites, in units of the cell vectors:
Tc 0.333 0.667 0.109
Tc 0.333 0.667 0.364
Tc 0.667 0.333 0.636
Tc 0.667 0.333 0.891
C 0.000 0.000 0.500



Record 7
# PuAl2Rh

An optimized crystal structure of PuAl2Rh (PBE, Alexandria via LeMat-Bulk).

Formation energy from the elements = -0.632 eV/atom
SG = P4/mmm, No. 123

a b c (Å): 3.009 3.009 7.605
angles (deg): 90.00 90.00 90.00
Sites, in units of the cell vectors:
Pu 0.000 0.000 0.000
Al 0.500 0.500 0.304
Al 0.500 0.500 0.696
Rh 0.000 0.000 0.500



Record 8
# CaAs2IBr

An optimized crystal structure of CaAs2IBr (PBE, Alexandria via LeMat-Bulk).

SG = P4/mmm, No. 123
Energy relative to the elements, uncorrected = 215 meV/atom

a b c (Å): 5.749 5.749 5.343
angles (deg): 90.00 90.00 90.00
Sites, in units of the cell vectors:
Ca 0.000 0.000 0.000
As 0.000 0.500 0.000
As 0.500 0.000 0.000
I 0.500 0.500 0.500
Br 0.000 0.000 0.500